1.
A relaxed structure of MgZnFeOs, computed with PBE.

Results
Raw total energy (eV per atom): -5.3893
Energy relative to the lowest polymorph listed for this composition (meV/atom): 0

a b c (Å): 4.2965 4.2965 4.2965
angles (deg): 60.00 60.00 60.00
Closest atoms and distances in Å follow each position.
Fractional positions:
1 Mg 0.0000 0.0000 0.0000  4 Os 2.63, 4 Zn 2.63
2 Zn 0.2500 0.2500 0.2500  4 Fe 2.63, 4 Mg 2.63
3 Fe 0.5000 0.5000 0.5000  4 Os 2.63, 4 Zn 2.63
4 Os 0.7500 0.7500 0.7500  4 Fe 2.63, 4 Mg 2.63

***

2.
A relaxed structure of Gd2DyCu4Sn2Ge2, computed with PBE.

Results
Raw total energy (eV per atom): -4.7163
Energy relative to the lowest polymorph listed for this composition (meV/atom): 68

a b c (Å): 8.2823 8.2823 8.2823
angles (deg): 149.73 130.60 59.04
Closest atoms and distances in Å follow each position.
Fractional positions:
1 Gd 0.1361 0.1361 0.0000  6 Cu 3.00-3.12, 2 Ge 3.04, 4 Sn 3.24
2 Gd 0.8639 0.8639 0.0000  6 Cu 3.00-3.12, 2 Ge 3.04, 4 Sn 3.24
3 Dy 0.5000 0.0000 0.5000  4 Sn 2.99, 2 Ge 3.11
4 Cu 0.1375 0.3241 0.8134  1 Cu 2.58, 3 Ge 2.58-2.67, 1 Sn 2.65
5 Cu 0.4893 0.6759 0.8134  1 Cu 2.58, 3 Ge 2.58-2.67, 1 Sn 2.65
6 Cu 0.5107 0.3241 0.1866  1 Cu 2.58, 3 Ge 2.58-2.67, 1 Sn 2.65
7 Cu 0.8625 0.6759 0.1866  1 Cu 2.58, 3 Ge 2.58-2.67, 1 Sn 2.65
8 Sn 0.2023 0.5000 0.7023  2 Cu 2.65, 1 Sn 2.80
9 Sn 0.7977 0.5000 0.2977  2 Cu 2.65, 1 Sn 2.80
10 Ge 0.2842 0.7842 0.5000  6 Cu 2.58-2.67
11 Ge 0.7158 0.2158 0.5000  6 Cu 2.58-2.67

***

3.
A relaxed structure of ScCdAg2, computed with PBE.

Results
DFT formation energy (eV per atom): -0.08
Raw total energy (eV per atom): -3.2950

a b c (Å): 7.3080 7.6610 5.9062
angles (deg): 90.00 90.00 90.00
Closest atoms and distances in Å follow each position.
Fractional positions:
1 Sc 0.0364 0.2500 0.1678  6 Ag 2.99-3.06, 3 Cd 3.03-3.34
2 Sc 0.4636 0.7500 0.6678  6 Ag 2.99-3.06, 3 Cd 3.03-3.34
3 Sc 0.5364 0.2500 0.3322  6 Ag 2.99-3.06, 3 Cd 3.03-3.34
4 Sc 0.9636 0.7500 0.8322  6 Ag 2.99-3.06, 3 Cd 3.03-3.34
5 Cd 0.0900 0.7500 0.3432  6 Ag 2.73-2.81, 1 Sc 3.03
6 Cd 0.4100 0.2500 0.8432  6 Ag 2.73-2.81, 1 Sc 3.03
7 Cd 0.5900 0.7500 0.1568  6 Ag 2.73-2.81, 1 Sc 3.03
8 Cd 0.9100 0.2500 0.6568  6 Ag 2.73-2.81, 1 Sc 3.03
9 Ag 0.2185 0.0483 0.5450  3 Cd 2.73-2.81, 2 Sc 2.99-3.02
10 Ag 0.2185 0.4517 0.5450  3 Cd 2.73-2.81, 2 Sc 2.99-3.02
11 Ag 0.2815 0.5483 0.0450  3 Cd 2.73-2.81, 2 Sc 2.99-3.02
12 Ag 0.2815 0.9517 0.0450  3 Cd 2.73-2.81, 2 Sc 2.99-3.02
13 Ag 0.7185 0.0483 0.9550  3 Cd 2.73-2.81, 2 Sc 2.99-3.02
14 Ag 0.7185 0.4517 0.9550  3 Cd 2.73-2.81, 2 Sc 2.99-3.02
15 Ag 0.7815 0.5483 0.4550  3 Cd 2.73-2.81, 2 Sc 2.99-3.02
16 Ag 0.7815 0.9517 0.4550  3 Cd 2.73-2.81, 2 Sc 2.99-3.02

***

4.
A relaxed structure of PmSnBi, computed with PBE.

Results
Raw total energy (eV per atom): -4.9336
Energy relative to the lowest polymorph listed for this composition (meV/atom): 0

a b c (Å): 8.8179 8.8179 4.4816
angles (deg): 90.00 90.00 149.62
Closest atoms and distances in Å follow each position.
Fractional positions:
1 Pm 0.0994 0.9006 0.7500  6 Sn 3.29-3.54, 4 Bi 3.41-3.44
2 Pm 0.9006 0.0994 0.2500  6 Sn 3.29-3.54, 4 Bi 3.41-3.44
3 Sn 0.4416 0.5584 0.7500  2 Sn 3.00, 4 Pm 3.29
4 Sn 0.5584 0.4416 0.2500  2 Sn 3.00, 4 Pm 3.29
5 Bi 0.2506 0.7494 0.2500  4 Bi 3.22, 4 Pm 3.41-3.44
6 Bi 0.7494 0.2506 0.7500  4 Bi 3.22, 4 Pm 3.41-3.44

***

5.
A relaxed structure of NaUPt, computed with PBE.

Results
Raw total energy (eV per atom): -6.0621
Energy relative to the lowest polymorph listed for this composition (meV/atom): 0

a b c (Å): 4.7253 4.7253 4.7253
angles (deg): 60.00 60.00 60.00
Closest atoms and distances in Å follow each position.
Fractional positions:
1 Na 0.0000 0.0000 0.0000  4 Pt 2.89
2 U 0.5000 0.5000 0.5000  4 Pt 2.89
3 Pt 0.2500 0.2500 0.2500  4 Na 2.89, 4 U 2.89

***

6.
A relaxed structure of MgInCuW, computed with PBE.

Results
Raw total energy (eV per atom): -4.5911
Energy relative to the lowest polymorph listed for this composition (meV/atom): 0

a b c (Å): 4.6219 4.6219 4.6219
angles (deg): 60.00 60.00 60.00
Closest atoms and distances in Å follow each position.
Fractional positions:
1 Mg 0.0000 0.0000 0.0000  4 W 2.83, 4 Cu 2.83
2 In 0.5000 0.5000 0.5000  4 W 2.83, 4 Cu 2.83
3 Cu 0.7500 0.7500 0.7500  4 In 2.83, 4 Mg 2.83
4 W 0.2500 0.2500 0.2500  4 In 2.83, 4 Mg 2.83

***

What did the second record say?
A relaxed structure of Gd2DyCu4Sn2Ge2, computed with PBE.

Results
Raw total energy (eV per atom): -4.7163
Energy relative to the lowest polymorph listed for this composition (meV/atom): 68

a b c (Å): 8.2823 8.2823 8.2823
angles (deg): 149.73 130.60 59.04
Closest atoms and distances in Å follow each position.
Fractional positions:
1 Gd 0.1361 0.1361 0.0000  6 Cu 3.00-3.12, 2 Ge 3.04, 4 Sn 3.24
2 Gd 0.8639 0.8639 0.0000  6 Cu 3.00-3.12, 2 Ge 3.04, 4 Sn 3.24
3 Dy 0.5000 0.0000 0.5000  4 Sn 2.99, 2 Ge 3.11
4 Cu 0.1375 0.3241 0.8134  1 Cu 2.58, 3 Ge 2.58-2.67, 1 Sn 2.65
5 Cu 0.4893 0.6759 0.8134  1 Cu 2.58, 3 Ge 2.58-2.67, 1 Sn 2.65
6 Cu 0.5107 0.3241 0.1866  1 Cu 2.58, 3 Ge 2.58-2.67, 1 Sn 2.65
7 Cu 0.8625 0.6759 0.1866  1 Cu 2.58, 3 Ge 2.58-2.67, 1 Sn 2.65
8 Sn 0.2023 0.5000 0.7023  2 Cu 2.65, 1 Sn 2.80
9 Sn 0.7977 0.5000 0.2977  2 Cu 2.65, 1 Sn 2.80
10 Ge 0.2842 0.7842 0.5000  6 Cu 2.58-2.67
11 Ge 0.7158 0.2158 0.5000  6 Cu 2.58-2.67

***

Q: Which value of raw total energy does entry 6 give?
A: -4.5911 eV per atom

***

Q: raw total energy of number 4 (PmSnBi)?
A: -4.9336 eV per atom

***

Q: Which value of raw total energy does entry 3 give?
A: -3.2950 eV per atom